No. 1
DFT (PBE+U) results for CoSnO3 after structural relaxation.

energy = -6.17 eV per atom
magnetic moment = 3.02 μB per formula unit

Unit cell a=5.3583 b=5.3583 c=5.6663 alpha=61.78 beta=61.78 gamma=60.00
Each line ends with the local moment (μB).
Atoms (fractional coordinates):
Co (0.6410, 0.6410, 0.0769)  2.74
Co (0.3590, 0.3590, 0.9231)  2.74
Sn (0.8524, 0.8524, 0.4427)  0.02
Sn (0.1476, 0.1476, 0.5573)  0.02
O (0.5521, 0.9509, 0.2539)  0.07
O (0.2431, 0.5521, 0.2539)  0.07
O (0.0491, 0.7569, 0.7461)  0.07
O (0.9509, 0.2431, 0.2539)  0.07
O (0.7569, 0.4479, 0.7461)  0.07
O (0.4479, 0.0491, 0.7461)  0.07

No. 2
DFT (PBE+U) results for Ca2MnAgF after structural relaxation.

energy = -3.25 eV per atom
magnetic moment = 5.11 μB per formula unit

Unit cell a=5.9765 b=4.9280 c=5.9765 alpha=90.00 beta=90.00 gamma=90.00
Each line ends with the local moment (μB).
Atoms (fractional coordinates):
Ca (0.0000, 0.0000, 0.5000)  -0.01
Ca (0.5000, 0.0000, 0.0000)  0.03
Mn (0.0000, 0.0000, 0.0000)  4.54
Ag (0.0000, 0.5000, 0.0000)  0.10
F (0.5000, 0.5000, 0.5000)  0.01